# La3PmO

La3PmO after structural relaxation (GGA-PBE, the Alexandria database).

Output
E_form (uncorrected), meV/atom: -1140

a b c (Å): 5.1872 5.1872 5.1872
angles (deg): 90.00 90.00 90.00
Fractional coordinates of all 5 atoms:
La 0.5000 0.0000 0.0000
O 0.0000 0.0000 0.0000
La 0.0000 0.0000 0.5000
Pm 0.5000 0.5000 0.5000
La 0.0000 0.5000 0.0000

# CaC2O5

CaC2O5 after structural relaxation (GGA-PBE, the Alexandria database).

Output
E_form (uncorrected), meV/atom: -1305

a b c (Å): 6.2720 6.2720 6.2268
angles (deg): 77.11 77.11 72.44
Fractional coordinates of all 16 atoms:
O 0.0419 0.0419 0.7552
O 0.5719 0.2067 0.9930
C 0.9353 0.9353 0.4536
C 0.0647 0.0647 0.5464
O 0.6603 0.6603 0.4124
O 0.4281 0.7933 0.0070
C 0.6056 0.3944 0.0000
C 0.3944 0.6056 0.0000
O 0.1795 0.1795 0.3995
O 0.3397 0.3397 0.5876
Ca 0.1903 0.1903 0.9933
O 0.9581 0.9581 0.2448
O 0.2067 0.5719 0.9930
O 0.8205 0.8205 0.6005
Ca 0.8097 0.8097 0.0067
O 0.7933 0.4281 0.0070

# CrGeW

CrGeW after structural relaxation (GGA-PBE, the Alexandria database).

Output
E_form, eV per atom: 0.303
Energy above the lowest structure with this stoichiometry, meV/atom: 81

a b c (Å): 2.8899 2.9467 11.8504
angles (deg): 90.00 90.00 119.36
Fractional coordinates of all 6 atoms:
W 0.3177 0.6354 0.5000
Cr 0.6008 0.2017 0.6685
Ge 0.2724 0.5447 0.1737
Ge 0.2724 0.5447 0.8263
Cr 0.6008 0.2017 0.3315
W 0.6025 0.2050 0.0000

# Ho12Tm7Tl

Ho12Tm7Tl after structural relaxation (GGA-PBE, the Alexandria database).

Output
E_form, eV per atom: 0.186

a b c (Å): 8.5616 8.5616 8.5616
angles (deg): 87.68 87.68 87.68
Fractional coordinates of all 20 atoms:
Tm 0.9331 0.8521 0.6098
Tm 0.5000 0.5000 0.5000
Tl 0.0000 0.0000 0.0000
Ho 0.7420 0.8633 0.2532
Tm 0.1479 0.3902 0.0669
Ho 0.8592 0.5007 0.3837
Ho 0.6163 0.1408 0.4993
Ho 0.2580 0.1367 0.7468
Ho 0.7468 0.2580 0.1367
Ho 0.3837 0.8592 0.5007
Ho 0.1367 0.7468 0.2580
Tm 0.8521 0.6098 0.9331
Ho 0.8633 0.2532 0.7420
Ho 0.4993 0.6163 0.1408
Tm 0.6098 0.9331 0.8521
Ho 0.1408 0.4993 0.6163
Ho 0.2532 0.7420 0.8633
Tm 0.0669 0.1479 0.3902
Ho 0.5007 0.3837 0.8592
Tm 0.3902 0.0669 0.1479

no.,total energy (eV/cell)
1,-30.19
2,-111.36
3,-52.57
4,-84.87